(1)
# PBE-GGA AcTi2S4, optimized geometry
# Total DFT energy (no corrections): -6.79 eV/atom
# Total magnetization: 4.82 μB/cell
# E_form (uncorrected): -1584 meV per atom
data_AcTi2S4
_chemical_formula_sum 'Ac4 Ti8 S16'
_space_group_name_H-M_alt 'C m c m'
_space_group_IT_number 63
_space_group_name_Hall '-C 2c 2'
_cell_length_a 3.8893
_cell_length_b 11.7369
_cell_length_c 12.3204
_cell_angle_alpha 90.00
_cell_angle_beta 90.00
_cell_angle_gamma 90.00
loop_
_atom_site_label
_atom_site_type_symbol
_atom_site_fract_x
_atom_site_fract_y
_atom_site_fract_z
Ac1 Ac 0.0000 0.1227 0.2500
Ti1 Ti 0.0000 0.3856 0.0563
S1 S 0.0000 0.0000 0.0000
S2 S 0.0000 0.2605 0.6050
S3 S 0.0000 0.4306 0.2500



(2)
# PBE-GGA CsHfSiAu2, optimized geometry
# Total DFT energy (no corrections): -3.41 eV/atom
# Total magnetization: 1.19 μB/cell
# E_form (uncorrected): 1148 meV per atom
data_CsHfSiAu2
_chemical_formula_sum 'Cs1 Hf1 Si1 Au2'
_space_group_name_H-M_alt 'P 4/m m m'
_space_group_IT_number 123
_space_group_name_Hall '-P 4 2'
_cell_length_a 5.2216
_cell_length_b 5.2216
_cell_length_c 6.2854
_cell_angle_alpha 90.00
_cell_angle_beta 90.00
_cell_angle_gamma 90.00
loop_
_atom_site_label
_atom_site_type_symbol
_atom_site_fract_x
_atom_site_fract_y
_atom_site_fract_z
Cs1 Cs 0.0000 0.0000 0.0000
Hf1 Hf 0.0000 0.0000 0.5000
Si1 Si 0.5000 0.5000 0.0000
Au1 Au 0.0000 0.5000 0.5000



(3)
# PBE-GGA RbZnHg, optimized geometry
# Total DFT energy (no corrections): -0.89 eV/atom
# Energy relative to the elements: -1.1 kcal/mol of atoms
# ΔE to the lowest computed polymorph: 0.0240 eV/atom
# Total magnetization: 0.00 μB/cell
data_RbZnHg
_chemical_formula_sum 'Rb1 Zn1 Hg1'
_space_group_name_H-M_alt 'P -6 m 2'
_space_group_IT_number 187
_space_group_name_Hall 'P -6 2'
_cell_length_a 4.9675
_cell_length_b 4.9675
_cell_length_c 4.9094
_cell_angle_alpha 90.00
_cell_angle_beta 90.00
_cell_angle_gamma 120.00
loop_
_atom_site_label
_atom_site_type_symbol
_atom_site_fract_x
_atom_site_fract_y
_atom_site_fract_z
Rb1 Rb 0.0000 0.0000 0.0000
Zn1 Zn 0.3333 0.6667 0.5000
Hg1 Hg 0.6667 0.3333 0.5000



(4)
# PBE-GGA K2LuAuCl6, optimized geometry
# Total DFT energy (no corrections): -3.75 eV/atom
# Total magnetization: 0.00 μB/cell
# E_form (uncorrected): -1641 meV per atom
data_K2LuAuCl6
_chemical_formula_sum 'K8 Lu4 Au4 Cl24'
_space_group_name_H-M_alt 'F m -3 m'
_space_group_IT_number 225
_space_group_name_Hall '-F 4 2 3'
_cell_length_a 10.6144
_cell_length_b 10.6144
_cell_length_c 10.6144
_cell_angle_alpha 90.00
_cell_angle_beta 90.00
_cell_angle_gamma 90.00
loop_
_atom_site_label
_atom_site_type_symbol
_atom_site_fract_x
_atom_site_fract_y
_atom_site_fract_z
K1 K 0.2500 0.2500 0.2500
Lu1 Lu 0.0000 0.0000 0.0000
Au1 Au 0.0000 0.0000 0.5000
Cl1 Cl 0.0000 0.0000 0.2424



(5)
# PBE-GGA RbNp2AgI8, optimized geometry
# Total DFT energy (no corrections): -4.34 eV/atom
# Total magnetization: 8.00 μB/cell
# E_form (uncorrected): -834 meV per atom
data_RbNp2AgI8
_chemical_formula_sum 'Rb1 Np2 Ag1 I8'
_space_group_name_H-M_alt 'P -1'
_space_group_IT_number 2
_cell_length_a 8.1217
_cell_length_b 8.8087
_cell_length_c 9.2867
_cell_angle_alpha 84.61
_cell_angle_beta 87.59
_cell_angle_gamma 66.97
loop_
_space_group_symop_operation_xyz
'x,y,z'
'-x,-y,-z'
loop_
_atom_site_label
_atom_site_type_symbol
_atom_site_fract_x
_atom_site_fract_y
_atom_site_fract_z
Rb1 Rb 0.0000 0.0000 0.0000
Np1 Np 0.0213 0.4837 0.2562
Ag1 Ag 0.0000 0.0000 0.5000
I1 I 0.1929 0.7528 0.6958
I2 I 0.2373 0.2751 0.5310
I3 I 0.2377 0.2897 0.9928
I4 I 0.2681 0.6656 0.2392



(6)
# PBE-GGA RbY3Be, optimized geometry
# Total DFT energy (no corrections): -3.05 eV/atom
# Energy relative to the elements: 40.7 kcal/mol of atoms
# ΔE to the lowest computed polymorph: 1.2760 eV/atom
# Total magnetization: 0.00 μB/cell
data_RbY3Be
_chemical_formula_sum 'Rb1 Y3 Be1'
_space_group_name_H-M_alt 'P m -3 m'
_space_group_IT_number 221
_space_group_name_Hall '-P 4 2 3'
_cell_length_a 5.4226
_cell_length_b 5.4226
_cell_length_c 5.4226
_cell_angle_alpha 90.00
_cell_angle_beta 90.00
_cell_angle_gamma 90.00
loop_
_atom_site_label
_atom_site_type_symbol
_atom_site_fract_x
_atom_site_fract_y
_atom_site_fract_z
Rb1 Rb 0.0000 0.0000 0.0000
Y1 Y 0.0000 0.0000 0.5000
Be1 Be 0.5000 0.5000 0.5000



(7)
# PBE-GGA Rb2GaBiO4, optimized geometry
# Total DFT energy (no corrections): -5.09 eV/atom
# Total magnetization: 0.00 μB/cell
# E_form (uncorrected): -1509 meV per atom
data_Rb2GaBiO4
_chemical_formula_sum 'Rb4 Ga2 Bi2 O8'
_space_group_name_H-M_alt 'I -4'
_space_group_IT_number 82
_cell_length_a 6.1811
_cell_length_b 6.1811
_cell_length_c 8.5504
_cell_angle_alpha 90.00
_cell_angle_beta 90.00
_cell_angle_gamma 90.00
loop_
_space_group_symop_operation_xyz
'x,y,z'
'y,-x,-z'
'-x,-y,z'
'-y,x,-z'
'x+1/2,y+1/2,z+1/2'
'y+1/2,-x+1/2,-z+1/2'
'-x+1/2,-y+1/2,z+1/2'
'-y+1/2,x+1/2,-z+1/2'
loop_
_atom_site_label
_atom_site_type_symbol
_atom_site_fract_x
_atom_site_fract_y
_atom_site_fract_z
Rb1 Rb 0.0000 0.0000 0.0000
Rb2 Rb 0.0000 0.5000 0.2500
Ga1 Ga 0.0000 0.5000 0.7500
Bi1 Bi 0.0000 0.0000 0.5000
O1 O 0.1392 0.7193 0.6334



(8)
# PBE-GGA ErGaNiIr, optimized geometry
# Total DFT energy (no corrections): -6.09 eV/atom
# Energy relative to the elements: -12.3 kcal/mol of atoms
# Total magnetization: 0.00 μB/cell
data_ErGaNiIr
_chemical_formula_sum 'Er4 Ga4 Ni4 Ir4'
_space_group_name_H-M_alt 'F -4 3 m'
_space_group_IT_number 216
_space_group_name_Hall 'F -4 2 3'
_cell_length_a 6.3862
_cell_length_b 6.3862
_cell_length_c 6.3862
_cell_angle_alpha 90.00
_cell_angle_beta 90.00
_cell_angle_gamma 90.00
loop_
_atom_site_label
_atom_site_type_symbol
_atom_site_fract_x
_atom_site_fract_y
_atom_site_fract_z
Er1 Er 0.0000 0.0000 0.0000
Ga1 Ga 0.0000 0.0000 0.5000
Ni1 Ni 0.2500 0.2500 0.7500
Ir1 Ir 0.2500 0.2500 0.2500